Entry 1:
First-principles (PBE) data for crystalline In3CoPd12 at its relaxed geometry, as listed in the Alexandria database.

Cell: 3.9983 3.9983 15.9460 Å, 90.00 90.00 90.00°
Atoms (fractional coordinates):
In 0.0000 0.0000 0.0000
In 0.0000 0.0000 0.2551
In 0.0000 0.0000 0.7449
Co 0.0000 0.0000 0.5000
Pd 0.0000 0.5000 0.1285
Pd 0.0000 0.5000 0.3848
Pd 0.0000 0.5000 0.6152
Pd 0.0000 0.5000 0.8715
Pd 0.5000 0.0000 0.1285
Pd 0.5000 0.0000 0.3848
Pd 0.5000 0.0000 0.6152
Pd 0.5000 0.0000 0.8715
Pd 0.5000 0.5000 0.0000
Pd 0.5000 0.5000 0.2572
Pd 0.5000 0.5000 0.5000
Pd 0.5000 0.5000 0.7428

Summary:
As for the calculated total energy: -0.379 Ry/atom. Its calculated density is 10.95 g/cm3. The value obtained for the energy of formation from the pure elements is -4.9 eV/f.u. The calculation puts the density of states at the Fermi level at 1.1796 states/eV per atom. As for the total magnetic moment: 3.17 μB per formula unit.

=====

Entry 2:
First-principles (PBE) data for crystalline InCo3Pd at its relaxed geometry, as listed in the Alexandria database.

Cell: 4.5909 4.5909 4.5909 Å, 90.00 90.00 90.00°
Atoms (fractional coordinates):
In 0.0000 0.0000 0.0000
Co 0.0000 0.5000 0.5000
Co 0.5000 0.0000 0.5000
Co 0.5000 0.5000 0.0000
Pd 0.5000 0.5000 0.5000

Summary:
As for the calculated total energy: -0.345 Ry/atom. Its calculated density is 6.83 g/cm3. The energy above the lowest structure with this stoichiometry comes out at 0.000 eV per atom. The value obtained for the energy of formation from the pure elements is 5.8 eV/f.u. The calculation puts the density of states at the Fermi level at 1.5778 states/eV per atom. As for the total magnetic moment: 6.24 μB per formula unit.

=====

Entry 3:
First-principles (PBE) data for crystalline In2CoPd2 at its relaxed geometry, as listed in the Alexandria database.

Cell: 7.5715 7.5715 3.1304 Å, 90.00 90.00 90.00°
Atoms (fractional coordinates):
In 0.1562 0.3438 0.0000
In 0.3438 0.8438 0.0000
In 0.6562 0.1562 0.0000
In 0.8438 0.6562 0.0000
Co 0.0000 0.0000 0.0000
Co 0.5000 0.5000 0.0000
Pd 0.1433 0.6433 0.5000
Pd 0.3567 0.1433 0.5000
Pd 0.6433 0.8567 0.5000
Pd 0.8567 0.3567 0.5000

Summary:
As for the calculated total energy: -0.339 Ry/atom. Its calculated density is 9.28 g/cm3. The energy above the lowest structure with this stoichiometry comes out at 0.056 eV per atom. The value obtained for the energy of formation from the pure elements is -0.1 eV/f.u. The calculation puts the density of states at the Fermi level at 0.8855 states/eV per atom. As for the total magnetic moment: 1.70 μB per formula unit.

=====

Entry 4:
First-principles (PBE) data for crystalline In2Co2Pd at its relaxed geometry, as listed in the Alexandria database.

Cell: 7.5372 7.5372 2.9348 Å, 90.00 90.00 90.00°
Atoms (fractional coordinates):
In 0.1825 0.3175 0.0000
In 0.3175 0.8175 0.0000
In 0.6825 0.1825 0.0000
In 0.8175 0.6825 0.0000
Co 0.1086 0.6086 0.5000
Co 0.3914 0.1086 0.5000
Co 0.6086 0.8914 0.5000
Co 0.8914 0.3914 0.5000
Pd 0.0000 0.0000 0.0000
Pd 0.5000 0.5000 0.0000

Summary:
As for the calculated total energy: -0.354 Ry/atom. Its calculated density is 9.04 g/cm3. The energy above the lowest structure with this stoichiometry comes out at 0.094 eV per atom. The value obtained for the energy of formation from the pure elements is 0.8 eV/f.u. The calculation puts the density of states at the Fermi level at 0.8674 states/eV per atom. As for the total magnetic moment: 2.56 μB per formula unit.

=====

Entry 5:
First-principles (PBE) data for crystalline In2CoPd at its relaxed geometry, as listed in the Alexandria database.

Cell: 3.2041 3.2041 6.4970 Å, 90.00 90.00 90.00°
Atoms (fractional coordinates):
In 0.0000 0.0000 0.2344
In 0.0000 0.0000 0.7656
Co 0.5000 0.5000 0.0000
Pd 0.5000 0.5000 0.5000

Summary:
As for the calculated total energy: -0.339 Ry/atom. Its calculated density is 9.83 g/cm3. The energy above the lowest structure with this stoichiometry comes out at 0.000 eV per atom. The value obtained for the energy of formation from the pure elements is -0.7 eV/f.u. The calculation puts the density of states at the Fermi level at 0.4852 states/eV per atom. As for the total magnetic moment: 0.97 μB per formula unit.

=====

Entry 6:
First-principles (PBE) data for crystalline InCo2Pd2 at its relaxed geometry, as listed in the Alexandria database.

Cell: 7.3528 7.3528 2.8437 Å, 90.00 90.00 90.00°
Atoms (fractional coordinates):
In 0.0000 0.0000 0.0000
In 0.5000 0.5000 0.0000
Co 0.1650 0.3350 0.5000
Co 0.3350 0.8350 0.5000
Co 0.6650 0.1650 0.5000
Co 0.8350 0.6650 0.5000
Pd 0.1310 0.6310 0.0000
Pd 0.3690 0.1310 0.0000
Pd 0.6310 0.8690 0.0000
Pd 0.8690 0.3690 0.0000

Summary:
As for the calculated total energy: -0.390 Ry/atom. Its calculated density is 9.62 g/cm3. The energy above the lowest structure with this stoichiometry comes out at 0.124 eV per atom. The value obtained for the energy of formation from the pure elements is 0.8 eV/f.u. The calculation puts the density of states at the Fermi level at 1.8313 states/eV per atom. As for the total magnetic moment: 4.19 μB per formula unit.

=====

Entry 7:
First-principles (PBE) data for crystalline InCo2Pd at its relaxed geometry, as listed in the Alexandria database.

Cell: 9.7551 9.7551 9.7551 Å, 158.09 158.09 31.18°
Atoms (fractional coordinates):
In 0.0000 0.0000 0.0000
In 0.7500 0.2500 0.5000
Co 0.1657 0.6250 0.0407
Co 0.3750 0.4157 0.5407
Co 0.5843 0.1250 0.9593
Co 0.8750 0.8343 0.4593
Pd 0.2500 0.7500 0.5000
Pd 0.5000 0.5000 0.0000

Summary:
As for the calculated total energy: -0.380 Ry/atom. Its calculated density is 8.72 g/cm3. The value obtained for the energy of formation from the pure elements is 1.4 eV/f.u. The calculation puts the density of states at the Fermi level at 0.9097 states/eV per atom. As for the total magnetic moment: 3.41 μB per formula unit.

=====

Entry 8:
First-principles (PBE) data for crystalline In2CoPd at its relaxed geometry, as listed in the Alexandria database.

Cell: 4.5645 4.5645 4.5645 Å, 60.00 60.00 60.00°
Atoms (fractional coordinates):
In 0.2500 0.2500 0.2500
In 0.7500 0.7500 0.7500
Co 0.0000 0.0000 0.0000
Pd 0.5000 0.5000 0.5000

Summary:
As for the calculated total energy: -0.336 Ry/atom. Its calculated density is 9.75 g/cm3. The energy above the lowest structure with this stoichiometry comes out at 0.043 eV per atom. The value obtained for the energy of formation from the pure elements is -0.5 eV/f.u. The calculation puts the density of states at the Fermi level at 0.7502 states/eV per atom. As for the total magnetic moment: 0.94 μB per formula unit.